Si4HgIr: relaxed, GGA-PBE.

a = 5.152 Å, b = 5.152 Å, c = 5.152 Å
α = 60.00°, β = 60.00°, γ = 60.00°
Positions (direct):
Si  0.376  0.376  0.376
Si  0.376  0.376  0.872
Si  0.376  0.872  0.376
Si  0.872  0.376  0.376
Hg  0.000  0.000  0.000
Ir  0.750  0.750  0.750

- DOS at the Fermi energy: 2.91 states/eV per cell
- Formation energy without anion corrections: 0.679 eV per atom
- VASP energy: -4.46 eV/atom
- ρ: 8.68 g/cm3
- SG: F-43m, No. 216



SiHg2Ir2: relaxed, GGA-PBE.

a = 8.104 Å, b = 8.104 Å, c = 2.883 Å
α = 90.00°, β = 90.00°, γ = 90.00°
Positions (direct):
Si  0.000  0.000  0.000
Si  0.500  0.500  0.000
Hg  0.181  0.319  0.000
Hg  0.319  0.819  0.000
Hg  0.681  0.181  0.000
Hg  0.819  0.681  0.000
Ir  0.115  0.615  0.500
Ir  0.385  0.115  0.500
Ir  0.615  0.885  0.500
Ir  0.885  0.385  0.500

- DOS at the Fermi energy: 6.72 states/eV per cell
- Formation energy without anion corrections: 0.799 eV per atom
- VASP energy: -3.95 eV/atom
- ρ: 14.27 g/cm3
- SG: P4/mbm, No. 127
- Relative energy among the computed polymorphs: 728.4 meV per atom



Si2HgIr: relaxed, GGA-PBE.

a = 4.035 Å, b = 4.035 Å, c = 7.980 Å
α = 90.00°, β = 90.00°, γ = 90.00°
Positions (direct):
Si  0.000  0.000  0.000
Si  0.000  0.500  0.250
Si  0.500  0.000  0.750
Si  0.500  0.500  0.500
Hg  0.000  0.500  0.750
Hg  0.500  0.000  0.250
Ir  0.000  0.000  0.500
Ir  0.500  0.500  0.000

- DOS at the Fermi energy: 3.36 states/eV per cell
- Formation energy without anion corrections: 0.524 eV per atom
- VASP energy: -4.48 eV/atom
- ρ: 11.48 g/cm3
- SG: I-4m2, No. 119



Si2HgIr: relaxed, GGA-PBE.

a = 5.860 Å, b = 5.860 Å, c = 10.722 Å
α = 90.00°, β = 90.00°, γ = 90.00°
Positions (direct):
Si  0.194  0.250  0.125
Si  0.250  0.694  0.375
Si  0.250  0.806  0.875
Si  0.306  0.250  0.625
Si  0.694  0.750  0.625
Si  0.750  0.194  0.875
Si  0.750  0.306  0.375
Si  0.806  0.750  0.125
Hg  0.000  0.000  0.500
Hg  0.000  0.500  0.750
Hg  0.500  0.000  0.250
Hg  0.500  0.500  0.000
Ir  0.000  0.000  0.000
Ir  0.000  0.500  0.250
Ir  0.500  0.000  0.750
Ir  0.500  0.500  0.500

- DOS at the Fermi energy: 7.96 states/eV per cell
- Formation energy without anion corrections: 0.177 eV per atom
- VASP energy: -4.83 eV/atom
- ρ: 8.10 g/cm3
- SG: I-42d, No. 122



SiHg2Ir2: relaxed, GGA-PBE.

a = 3.558 Å, b = 3.558 Å, c = 16.178 Å
α = 90.00°, β = 90.00°, γ = 90.00°
Positions (direct):
Si  0.000  0.000  0.000
Si  0.500  0.500  0.500
Hg  0.000  0.000  0.398
Hg  0.000  0.000  0.602
Hg  0.500  0.500  0.102
Hg  0.500  0.500  0.898
Ir  0.000  0.500  0.250
Ir  0.000  0.500  0.750
Ir  0.500  0.000  0.250
Ir  0.500  0.000  0.750

- DOS at the Fermi energy: 9.53 states/eV per cell
- Formation energy without anion corrections: 0.802 eV per atom
- VASP energy: -3.95 eV/atom
- ρ: 13.19 g/cm3
- SG: I4/mmm, No. 139
- Relative energy among the computed polymorphs: 730.7 meV per atom



Si2HgIr: relaxed, GGA-PBE.

a = 4.371 Å, b = 4.371 Å, c = 3.420 Å
α = 90.00°, β = 90.00°, γ = 90.00°
Positions (direct):
Si  0.000  0.500  0.000
Si  0.500  0.000  0.000
Hg  0.000  0.000  0.500
Ir  0.500  0.500  0.500

- DOS at the Fermi energy: 1.59 states/eV per cell
- Formation energy without anion corrections: 0.519 eV per atom
- VASP energy: -4.48 eV/atom
- ρ: 11.41 g/cm3
- SG: P4/mmm, No. 123



Table of calculated volume (Å³/cell), in record order: 96.7, 189.4, 129.9, 368.2, 204.8, 65.3